Below is an optimized crystal structure of HfNi5B2O10, with properties calculated at the PBE with a Hubbard U level.

Results
Space group: Pnma
Energy (eV/atom): -6.6502

abc: 9.396 6.161 12.415
angles: 90.00 90.00 90.00
Fractional positions:
Hf  0.240  0.250  0.116
Hf  0.260  0.750  0.616
Hf  0.740  0.250  0.384
Hf  0.760  0.750  0.884
Ni  0.000  0.000  0.000
Ni  0.000  0.500  0.000
Ni  0.001  0.505  0.283
Ni  0.001  0.995  0.283
Ni  0.007  0.250  0.503
Ni  0.238  0.750  0.114
Ni  0.262  0.250  0.614
Ni  0.493  0.750  0.003
Ni  0.499  0.005  0.783
Ni  0.499  0.495  0.783
Ni  0.500  0.000  0.500
Ni  0.500  0.500  0.500
Ni  0.501  0.505  0.217
Ni  0.501  0.995  0.217
Ni  0.507  0.250  0.997
Ni  0.738  0.750  0.386
Ni  0.762  0.250  0.886
Ni  0.993  0.750  0.497
Ni  0.999  0.005  0.717
Ni  0.999  0.495  0.717
B  0.223  0.750  0.865
B  0.228  0.250  0.856
B  0.272  0.750  0.356
B  0.277  0.250  0.365
B  0.723  0.750  0.635
B  0.728  0.250  0.644
B  0.772  0.750  0.144
B  0.777  0.250  0.135
O  0.103  0.003  0.144
O  0.103  0.497  0.144
O  0.112  0.506  0.576
O  0.112  0.994  0.576
O  0.125  0.750  0.357
O  0.130  0.250  0.360
O  0.147  0.750  0.960
O  0.149  0.750  0.766
O  0.152  0.250  0.761
O  0.154  0.250  0.955
O  0.346  0.750  0.455
O  0.348  0.750  0.261
O  0.351  0.250  0.266
O  0.353  0.250  0.460
O  0.370  0.750  0.860
O  0.375  0.250  0.857
O  0.388  0.006  0.076
O  0.388  0.494  0.076
O  0.397  0.503  0.644
O  0.397  0.997  0.644
O  0.603  0.003  0.356
O  0.603  0.497  0.356
O  0.612  0.506  0.924
O  0.612  0.994  0.924
O  0.625  0.750  0.143
O  0.630  0.250  0.140
O  0.647  0.750  0.540
O  0.649  0.750  0.734
O  0.652  0.250  0.739
O  0.654  0.250  0.545
O  0.846  0.750  0.045
O  0.848  0.750  0.239
O  0.851  0.250  0.234
O  0.853  0.250  0.040
O  0.870  0.750  0.640
O  0.875  0.250  0.643
O  0.888  0.006  0.424
O  0.888  0.494  0.424
O  0.897  0.503  0.856
O  0.897  0.997  0.856